Here is Ac2CrGeO6 after structural relaxation from Alexandria via LeMat-Bulk. Energies are from PBE with a Hubbard U.

Cell: 3.997 5.708 5.708 Å, 90.00 90.00 90.00°
Atoms (fractional coordinates):
Ge: 0.645 0.000 0.000
O: 0.645 0.233 0.233
O: 0.645 0.767 0.767
O: 0.645 0.767 0.233
O: 0.645 0.233 0.767
O: 0.145 0.000 0.000
O: 0.145 0.500 0.500
Ac: 0.145 0.000 0.500
Ac: 0.145 0.500 0.000
Cr: 0.645 0.500 0.500

## Properties
Calculated total energy = -7.532 eV/atom
Magnetic moment = 4.00 Bohr magnetons per cell
ρ = 8.6 g cm⁻³